Computed, not measured: an optimized crystal structure of NiMoIrRu2 at the PBE-GGA level of DFT.

```
NiMoIrRu2
1.0
-0.875 -2.326 -3.567
-1.460 -3.249 2.477
-3.999 1.700 -0.128
Ir Ni Ru Mo
1 1 2 1
Direct
0.500 0.500 0.500
0.000 0.000 0.000
0.000 0.000 0.500
0.500 0.000 0.000
0.000 0.500 0.000
```

Results
Its energy relative to the elements is 1450 meV per atom. The mass density comes out at 11.12 g/cm³. As for the final energy: -36.8 eV for the cell shown.

=====

Computed, not measured: an optimized crystal structure of TlNiMoIr2 at the PBE-GGA level of DFT.

```
TlNiMoIr2
1.0
-1.177 -4.792 0.122
3.331 -0.741 3.033
-3.164 0.870 3.687
Ni Mo Ir Tl
1 1 2 1
Direct
0.000 0.500 0.000
0.500 0.500 0.500
0.000 0.000 0.500
0.500 0.000 0.000
0.000 0.000 0.000
```

Results
Its energy relative to the elements is 2282 meV per atom. The mass density comes out at 11.10 g/cm³. As for the final energy: -25.3 eV for the cell shown.

=====

Computed, not measured: an optimized crystal structure of VNiMoIr at the PBE-GGA level of DFT.

```
VNiMoIr
1.0
4.256 0.000 0.000
2.128 3.685 0.000
2.128 1.228 3.475
Ir Ni V Mo
1 1 1 1
Direct
0.500 0.500 0.500
0.250 0.250 0.250
0.750 0.750 0.750
0.000 0.000 0.000
```

Results
The distance to the lowest polymorph of the same formula comes out at 157.6 meV/atom. Its energy relative to the elements is -121 meV per atom. The mass density comes out at 12.12 g/cm³. As for the final energy: -35.1 eV for the cell shown.

=====

Computed, not measured: an optimized crystal structure of VNiMoIr at the PBE-GGA level of DFT.

```
VNiMoIr
1.0
3.690 0.000 0.000
0.000 3.798 0.000
0.000 0.000 3.869
Ir Ni V Mo
1 1 1 1
Direct
0.000 0.500 0.500
0.500 0.000 0.500
0.500 0.500 0.000
0.000 0.000 0.000
```

Results
The distance to the lowest polymorph of the same formula comes out at 0.0 meV/atom. Its energy relative to the elements is -279 meV per atom. The mass density comes out at 12.18 g/cm³. As for the final energy: -35.7 eV for the cell shown.

=====

Computed, not measured: an optimized crystal structure of Ni2MoIrW at the PBE-GGA level of DFT.

```
Ni2MoIrW
1.0
4.432 0.000 0.000
0.000 4.598 0.000
0.000 0.000 4.432
Ni Ir Mo W
2 1 1 1
Direct
0.000 0.000 0.500
0.500 0.000 0.000
0.500 0.500 0.500
0.000 0.500 0.000
0.000 0.000 0.000
```

Results
Its energy relative to the elements is 1811 meV per atom. The mass density comes out at 10.84 g/cm³. As for the final energy: -35.2 eV for the cell shown.

=====

Computed, not measured: an optimized crystal structure of NpMoIr2 at the PBE-GGA level of DFT.

```
NpMoIr2
1.0
-1.981 -0.344 1.909
0.679 -0.740 2.584
0.334 9.064 3.994
Mo Ir Np
1 2 1
Direct
0.500 0.500 0.500
0.757 0.757 0.729
0.243 0.243 0.271
0.000 0.000 0.000
```

Results
The distance to the lowest polymorph of the same formula comes out at 133.3 meV/atom. Its energy relative to the elements is -97 meV per atom. The mass density comes out at 18.30 g/cm³. As for the final energy: -41.9 eV for the cell shown.